Compound: AcOs2O4
Source: OQMD via LeMat-Bulk
Functional: GGA-PBE
Structure: optimized geometry

Space group: Fd-3m (227)
Calculated total energy in eV per atom: -7.6574

POSCAR file:
```
AcOs2O4
1.0
-6.506 -0.059 0.553
2.771 0.183 -5.910
0.358 -5.432 3.606
Ac O Os
2 8 4
direct
0.000 0.000 0.000 Ac
0.750 0.500 0.250 Ac
0.600 0.200 0.400 O
0.201 0.800 0.400 O
0.600 0.800 0.400 O
0.150 0.300 0.451 O
0.600 0.200 0.799 O
0.150 0.700 0.850 O
0.150 0.300 0.850 O
0.549 0.700 0.850 O
0.375 0.750 0.125 Os
0.875 0.250 0.625 Os
0.375 0.750 0.625 Os
0.375 0.250 0.625 Os
```



Compound: Ac6OsO12
Source: OQMD via LeMat-Bulk
Functional: GGA-PBE
Structure: optimized geometry

Space group: R-3 (148)
Calculated total energy in eV per atom: -7.9047

POSCAR file:
```
Ac6OsO12
1.0
-3.396 3.207 5.209
-2.718 -6.398 0.789
6.100 -1.068 3.256
Ac O Os
6 12 1
direct
0.299 0.604 0.143 Ac
0.604 0.143 0.299 Ac
0.857 0.701 0.396 Ac
0.143 0.299 0.604 Ac
0.396 0.857 0.701 Ac
0.701 0.396 0.857 Ac
0.935 0.722 0.029 O
0.278 0.971 0.065 O
0.594 0.447 0.178 O
0.971 0.065 0.278 O
0.553 0.822 0.406 O
0.178 0.594 0.447 O
0.822 0.406 0.553 O
0.447 0.178 0.594 O
0.029 0.935 0.722 O
0.406 0.553 0.822 O
0.722 0.029 0.935 O
0.065 0.278 0.971 O
0.000 0.000 0.000 Os
```



Compound: AcPPdO
Source: OQMD via LeMat-Bulk
Functional: GGA-PBE
Structure: optimized geometry

Space group: P4/nmm (129)
Relative energy among the computed polymorphs in eV per atom: 0.818

POSCAR file:
```
AcPPdO
1.0
6.370 0.000 0.000
0.000 6.370 0.000
0.000 0.000 4.568
Ac O P Pd
2 2 2 2
direct
0.000 0.000 0.500 Ac
0.500 0.500 0.500 Ac
0.000 0.000 0.000 O
0.500 0.500 0.000 O
0.000 0.500 0.497 P
0.500 0.000 0.503 P
0.500 0.000 0.003 Pd
0.000 0.500 0.997 Pd
```